[1]
A relaxed structure of CeZrSc2N4. Source: Alexandria, functional PBE.

Cell: 5.708 3.307 5.769 Å, 90.00 109.32 90.00°
Fractional coordinates of all 8 atoms:
Ce  0.000  0.000  0.000
Zr  0.000  0.500  0.500
Sc  0.500  0.000  0.500
Sc  0.500  0.500  0.000
N  0.255  0.000  0.743
N  0.263  0.500  0.266
N  0.737  0.500  0.734
N  0.745  0.000  0.257

## Properties
crystal system	monoclinic
space-group type	No. 10
formation energy from raw total energies	-1.708	eV/atom

---

[2]
A relaxed structure of Ce2ZrScN5. Source: Alexandria, functional PBE.

Cell: 6.957 6.957 10.719 Å, 90.00 90.00 150.69°
Fractional coordinates of all 18 atoms:
Ce  0.115  0.885  0.500
Ce  0.141  0.859  0.074
Ce  0.859  0.141  0.574
Ce  0.885  0.115  0.000
Zr  0.471  0.529  0.281
Zr  0.529  0.471  0.781
Sc  0.226  0.774  0.805
Sc  0.774  0.226  0.305
N  0.068  0.932  0.868
N  0.278  0.722  0.466
N  0.305  0.695  0.181
N  0.379  0.621  0.850
N  0.483  0.517  0.593
N  0.517  0.483  0.093
N  0.621  0.379  0.350
N  0.695  0.305  0.681
N  0.722  0.278  0.966
N  0.932  0.068  0.368

## Properties
crystal system	orthorhombic
space-group type	No. 36
formation energy from raw total energies	-1.425	eV/atom